DFT (PBE) results for MgFe2HgSe after structural relaxation.

* Fermi-level density of states: 9.90 states/eV per cell
* energy relative to the elements, uncorrected: 1.01 eV per atom
* spin magnetization: 6.5 μB per formula unit

Cell lengths 4.9116, 5.1176, 4.9116 Å; angles 90.00, 90.00, 90.00 degrees
Site moments in Bohr magnetons follow the coordinates.
Fractional positions:
Mg 0.0000 0.5000 0.0000  -0.01
Hg 0.0000 0.0000 0.0000  -0.07
Se 0.5000 0.5000 0.5000  0.07
Fe 0.0000 0.0000 0.5000  3.59
Fe 0.5000 0.0000 0.0000  2.73